Entry 1:
{"formula": "GdYZn2", "functional": "GGA-PBE", "state": "relaxed", "cell": [[5.0826, 0.0000, 0.0000], [2.5413, 4.4017, 0.0000], [2.5413, 1.4672, 4.1500]], "species": ["Zn", "Zn", "Gd", "Y"], "frac_coords": [[0.7500, 0.7500, 0.7500], [0.2500, 0.2500, 0.2500], [0.5000, 0.5000, 0.5000], [0.0000, 0.0000, 0.0000]], "space_group": "Fm-3m (225)", "dos_ef_per_ev_fu": 2.98, "energy_ev_per_atom": -6.13, "formation_enthalpy_0k_kj_per_mol_fu": -137, "de_polymorph_mev_per_atom": 1, "total_magnetization_mub_per_cell": 7.788}

***

Entry 2:
{"formula": "TmCo6", "functional": "GGA-PBE", "state": "relaxed", "cell": [[-4.7448, 2.1105, -0.8506], [-0.9900, -0.1436, 5.1663], [2.0488, 4.8183, 0.5265]], "species": ["Co", "Co", "Co", "Co", "Co", "Co", "Tm"], "frac_coords": [[0.5000, 0.5000, 0.8049], [0.5000, 0.5000, 0.1951], [0.5000, 0.8049, 0.5000], [0.8049, 0.5000, 0.5000], [0.1951, 0.5000, 0.5000], [0.5000, 0.1951, 0.5000], [0.0000, 0.0000, 0.0000]], "space_group": "Pm-3m (221)", "dos_ef_per_ev_fu": 7.42, "energy_ev_per_atom": -5.71, "formation_enthalpy_0k_kj_per_mol_fu": 691, "de_polymorph_mev_per_atom": 1120, "total_magnetization_mub_per_cell": 10.057}

***

Entry 3:
{"formula": "Mg3SbN", "functional": "GGA-PBE", "state": "relaxed", "cell": [[-6.2339, 12.2558, -3.1245], [-7.4536, 2.6406, -1.0278], [-0.2147, -5.2808, 5.9709]], "species": ["Mg", "Mg", "Mg", "Mg", "Mg", "Mg", "Mg", "Mg", "Mg", "Mg", "Mg", "Mg", "Sb", "Sb", "Sb", "Sb", "N", "N", "N", "N"], "frac_coords": [[0.2158, 0.7414, 0.6729], [0.3841, 0.9255, 0.9750], [0.7842, 0.2586, 0.3271], [0.8841, 0.5250, 0.5745], [0.8838, 0.3065, 0.7931], [0.3838, 0.7069, 0.1935], [0.6159, 0.0745, 0.0250], [0.7158, 0.8271, 0.7586], [0.6162, 0.2931, 0.8065], [0.1159, 0.4750, 0.4255], [0.1162, 0.6935, 0.2069], [0.2842, 0.1729, 0.2414], [0.2500, 0.9401, 0.4401], [0.7500, 0.0599, 0.5599], [0.2500, 0.4402, 0.9402], [0.7500, 0.5598, 0.0598], [0.9064, 0.9181, 0.2307], [0.5936, 0.7307, 0.4181], [0.4064, 0.2693, 0.5819], [0.0936, 0.0819, 0.7693]], "space_group": "Cmce (64)", "dos_ef_per_ev_fu": 1.23, "energy_ev_per_atom": -3.74, "formation_energy_uncorrected_mev_per_atom": -292, "total_magnetization_mub_per_cell": 0.000}

***

Entry 4:
{"formula": "Zr8Zn2Sn", "functional": "GGA-PBE", "state": "relaxed", "cell": [[-4.8377, -0.7757, 0.5521], [1.1669, -3.5247, -6.6988], [2.6474, -3.5373, 6.2560]], "species": ["Zr", "Zr", "Zr", "Zr", "Zr", "Zr", "Zr", "Zr", "Zn", "Zn", "Sn"], "frac_coords": [[0.5000, 0.2302, 0.7698], [0.5000, 0.7698, 0.2302], [0.3039, 0.5967, 0.5967], [0.6961, 0.4033, 0.4033], [0.0993, 0.3167, 0.0804], [0.9007, 0.9196, 0.6833], [0.0993, 0.0804, 0.3167], [0.9007, 0.6833, 0.9196], [0.0000, 0.6901, 0.3099], [0.0000, 0.3099, 0.6901], [0.5000, 0.0000, 0.0000]], "space_group": "C2/m (12)", "dos_ef_per_ev_fu": 11.28, "energy_ev_per_atom": -6.89, "formation_enthalpy_0k_kj_per_mol_fu": -84, "total_magnetization_mub_per_cell": 0.000}

***

Entry 5:
{"formula": "YSc2Sn", "functional": "GGA-PBE", "state": "relaxed", "cell": [[6.1174, 1.1515, 0.0000], [-2.0865, 3.5925, 0.0000], [0.0000, 0.0000, 8.7570]], "species": ["Sc", "Sc", "Sc", "Sc", "Y", "Y", "Sn", "Sn"], "frac_coords": [[0.7702, 0.6350, 0.5537], [0.2298, 0.3650, 0.0537], [0.7702, 0.6350, 0.9463], [0.2298, 0.3650, 0.4463], [0.6056, 0.0528, 0.2500], [0.3944, 0.9472, 0.7500], [0.0191, 0.7596, 0.2500], [0.9809, 0.2404, 0.7500]], "space_group": "Cmcm (63)", "dos_ef_per_ev_fu": 5.18, "energy_ev_per_atom": -6.18, "formation_enthalpy_0k_kj_per_mol_fu": -155, "total_magnetization_mub_per_cell": 0.005}

***

Entry 6:
{"formula": "Te2RhSI", "functional": "GGA-PBE", "state": "relaxed", "cell": [[5.7975, 0.0000, 0.0000], [0.0000, 4.9734, 0.0000], [0.0000, 0.0000, 5.7975]], "species": ["Te", "Te", "S", "Rh", "I"], "frac_coords": [[0.5000, 0.0000, 0.0000], [0.0000, 0.0000, 0.5000], [0.0000, 0.5000, 0.0000], [0.5000, 0.5000, 0.5000], [0.0000, 0.0000, 0.0000]], "space_group": "P4/mmm (123)", "dos_ef_per_ev_fu": 7.80, "energy_ev_per_atom": -2.45, "formation_energy_uncorrected_mev_per_atom": 1411, "de_polymorph_mev_per_atom": 814, "total_magnetization_mub_per_cell": 2.198}

***

Entry 7:
{"formula": "SiAsP2Au", "functional": "GGA-PBE", "state": "relaxed", "cell": [[-0.7004, -1.5178, -4.4454], [-4.2955, -1.9042, 1.3269], [-2.1462, 4.1014, -1.0622]], "species": ["P", "P", "Au", "As", "Si"], "frac_coords": [[0.0000, 0.0000, 0.5000], [0.5000, 0.0000, 0.0000], [0.0000, 0.5000, 0.0000], [0.0000, 0.0000, 0.0000], [0.5000, 0.5000, 0.5000]], "space_group": "P4/mmm (123)", "dos_ef_per_ev_fu": 3.25, "energy_ev_per_atom": -3.76, "formation_energy_uncorrected_mev_per_atom": 1071, "total_magnetization_mub_per_cell": 0.000}

***

Entry 8:
{"formula": "LaSnH2", "functional": "GGA-PBE", "state": "relaxed", "cell": [[3.4938, 0.0000, -0.0171], [0.0000, 3.5086, 0.0000], [-1.2215, 0.0000, 5.6041]], "species": ["H", "H", "La", "Sn"], "frac_coords": [[0.8134, 0.5000, 0.9921], [0.7038, 0.0000, 0.7155], [0.2267, 0.5000, 0.7433], [0.6923, 0.0000, 0.2454]], "space_group": "Pm (6)", "dos_ef_per_ev_fu": 1.78, "energy_ev_per_atom": -4.16, "total_magnetization_mub_per_cell": 0.000}

***

Entry 9:
{"formula": "InPbCl3", "functional": "GGA-PBE", "state": "relaxed", "cell": [[-1.6375, -6.5236, -3.3691], [6.3302, 1.5807, -6.1374], [6.0566, -4.9638, 6.6677]], "species": ["Cl", "Cl", "Cl", "Cl", "Cl", "Cl", "Cl", "Cl", "Cl", "Cl", "Cl", "Cl", "Pb", "Pb", "Pb", "Pb", "In", "In", "In", "In"], "frac_coords": [[0.6657, 0.3943, 0.8932], [0.0749, 0.2054, 0.0558], [0.9354, 0.0836, 0.6710], [0.9251, 0.7946, 0.9442], [0.5646, 0.0836, 0.1710], [0.4354, 0.9164, 0.8290], [0.5749, 0.7946, 0.4442], [0.1657, 0.6057, 0.6068], [0.8343, 0.3943, 0.3932], [0.4251, 0.2054, 0.5558], [0.0646, 0.9164, 0.3290], [0.3343, 0.6057, 0.1068], [0.7635, 0.0897, 0.9224], [0.7365, 0.0897, 0.4224], [0.2635, 0.9103, 0.5776], [0.2365, 0.9103, 0.0776], [0.7310, 0.5959, 0.1450], [0.7690, 0.5959, 0.6450], [0.2310, 0.4041, 0.3550], [0.2690, 0.4041, 0.8550]], "space_group": "P2_1/c (14)", "dos_ef_per_ev_fu": 0.00, "energy_ev_per_atom": -3.41, "formation_energy_uncorrected_mev_per_atom": -1015, "total_magnetization_mub_per_cell": 0.000}

***

Entry 10:
{"formula": "AlFe2Mo2", "functional": "GGA-PBE", "state": "relaxed", "cell": [[6.9857, 0.0000, 0.0000], [0.0000, 6.9857, 0.0000], [0.0000, 0.0000, 2.8238]], "species": ["Fe", "Fe", "Fe", "Fe", "Mo", "Mo", "Mo", "Mo", "Al", "Al"], "frac_coords": [[0.8737, 0.6263, 0.0000], [0.6263, 0.1263, 0.0000], [0.1263, 0.3737, 0.0000], [0.3737, 0.8737, 0.0000], [0.3312, 0.1688, 0.5000], [0.1688, 0.6688, 0.5000], [0.6688, 0.8312, 0.5000], [0.8312, 0.3312, 0.5000], [0.0000, 0.0000, 0.0000], [0.5000, 0.5000, 0.0000]], "space_group": "P4/mbm (127)", "dos_ef_per_ev_fu": 3.79, "energy_ev_per_atom": -8.41, "formation_enthalpy_0k_kj_per_mol_fu": 29, "total_magnetization_mub_per_cell": 0.000}

***

Entry 11:
{"formula": "La3PuIn4", "functional": "GGA-PBE", "state": "relaxed", "cell": [[-0.2295, 3.4999, -1.7406], [-2.9799, -1.2850, -2.1910], [-10.1191, 4.7851, 10.9561]], "species": ["In", "In", "In", "In", "La", "La", "La", "Pu"], "frac_coords": [[0.0000, 0.0000, 0.8852], [0.0000, 0.0000, 0.3711], [0.0000, 0.0000, 0.1148], [0.0000, 0.0000, 0.6289], [0.5000, 0.5000, 0.5000], [0.5000, 0.5000, 0.7577], [0.5000, 0.5000, 0.2423], [0.5000, 0.5000, 0.0000]], "space_group": "P4/mmm (123)", "dos_ef_per_ev_fu": 13.80, "energy_ev_per_atom": -5.41, "formation_enthalpy_0k_kj_per_mol_fu": -306, "total_magnetization_mub_per_cell": 5.725}

***

Entry 12:
{"formula": "NaZnHg", "functional": "GGA-PBE", "state": "relaxed", "cell": [[7.0891, 0.0000, 0.0000], [3.5446, 7.7500, -0.2687], [3.5446, 2.3273, 7.3972]], "species": ["Zn", "Zn", "Zn", "Zn", "Zn", "Zn", "Hg", "Hg", "Hg", "Hg", "Hg", "Hg", "Na", "Na", "Na", "Na", "Na", "Na"], "frac_coords": [[0.2583, 0.8859, 0.8841], [0.4890, 0.5000, 0.5000], [0.0282, 0.6159, 0.6141], [0.4890, 0.0000, 0.0000], [0.2583, 0.3841, 0.3859], [0.0282, 0.1141, 0.1159], [0.5886, 0.6675, 0.6668], [0.9228, 0.3325, 0.3332], [0.2553, 0.2514, 0.7514], [0.5886, 0.1668, 0.1675], [0.2580, 0.7486, 0.2486], [0.9228, 0.8332, 0.8325], [0.8201, 0.2501, 0.7501], [0.6947, 0.5308, 0.0308], [0.6901, 0.0327, 0.5327], [0.2563, 0.4692, 0.9692], [0.2554, 0.9673, 0.4673], [0.8202, 0.7499, 0.2499]], "space_group": "Ima2 (46)", "dos_ef_per_ev_fu": 1.16, "energy_ev_per_atom": -1.07, "formation_enthalpy_0k_kj_per_mol_fu": -31, "de_polymorph_mev_per_atom": 9, "total_magnetization_mub_per_cell": 0.000}

***

- What is the formula in the twelfth record?
  NaZnHg

***

- Number 3 is which compound?
  Mg3SbN